WAu2Cl after structural relaxation. Source: Alexandria via LeMat-Bulk, functional PBE-GGA.

Structure (POSCAR):
```
WAu2Cl
1.0
0.000 3.258 3.258
3.258 0.000 3.258
3.258 3.258 0.000
W Au Cl
1 2 1
direct
0.000 0.000 0.000
0.500 0.500 0.500
0.750 0.750 0.750
0.250 0.250 0.250
```

Values from the calculation:
total magnetic moment: 0.0 Bohr magnetons per cell
crystal system: cubic
energy relative to the elements, uncorrected: 0.8745 eV/atom
theoretical density: 14.72 g/cm³
electronic total energy: -4.4641 eV per atom

---

WAu2Cl after structural relaxation. Source: Alexandria via LeMat-Bulk, functional PBE-GGA.

Structure (POSCAR):
```
WAu2Cl
1.0
2.930 0.000 0.000
0.000 2.930 0.000
0.000 0.000 8.947
W Au Cl
1 2 1
direct
0.000 0.000 0.000
0.000 0.000 0.447
0.500 0.500 0.212
0.500 0.500 0.821
```

Values from the calculation:
total magnetic moment: 0.0 Bohr magnetons per cell
crystal system: tetragonal
energy relative to the elements, uncorrected: 0.3362 eV/atom
theoretical density: 13.25 g/cm³
electronic total energy: -5.0024 eV per atom